1.
# CaHg2B | Alexandria | PBE-GGA | relaxed
data_CaHg2B
_cell_length_a 5.493
_cell_length_b 5.493
_cell_length_c 13.752
_cell_angle_alpha 90.00
_cell_angle_beta 90.00
_cell_angle_gamma 90.00
_space_group_name_H-M_alt 'I -4 2 d'
_space_group_IT_number 122
_space_group_name_Hall 'I -4 2bw'
loop_
_atom_site_label
_atom_site_type_symbol
_atom_site_fract_x
_atom_site_fract_y
_atom_site_fract_z
Ca1 Ca 0.000 0.000 0.000
Hg1 Hg 0.093 0.250 0.625
B1 B 0.000 0.000 0.500
# - Formation energy: 0.41 eV/atom
# - Crystal system: tetragonal
# - Calculated total energy: -1.913 eV/atom

***

2.
# GeH6CBr3N3 | Alexandria | PBE-GGA | relaxed
data_GeH6CBr3N3
_cell_length_a 9.027
_cell_length_b 7.401
_cell_length_c 17.994
_cell_angle_alpha 90.00
_cell_angle_beta 119.49
_cell_angle_gamma 90.00
_space_group_name_H-M_alt 'P 1 21/c 1'
_space_group_IT_number 14
loop_
_space_group_symop_operation_xyz
'x,y,z'
'-x,-y,-z'
'-x,y+1/2,-z+1/2'
'x,-y+1/2,z+1/2'
loop_
_atom_site_label
_atom_site_type_symbol
_atom_site_fract_x
_atom_site_fract_y
_atom_site_fract_z
Ge1 Ge 0.024 0.059 0.256
H1 H 0.089 0.742 0.475
H2 H 0.092 0.731 0.572
H3 H 0.349 0.723 0.973
H4 H 0.355 0.694 0.700
H5 H 0.455 0.225 0.801
H6 H 0.458 0.246 0.933
C1 C 0.329 0.733 0.581
Br1 Br 0.146 0.239 0.679
Br2 Br 0.148 0.234 0.893
Br3 Br 0.286 0.662 0.821
N1 N 0.158 0.734 0.540
N2 N 0.412 0.750 0.037
N3 N 0.416 0.714 0.666
# - Crystal system: monoclinic
# - Calculated total energy: -5.023 eV/atom

***

3.
# TbZn2GaCu2 | Alexandria | PBE-GGA | relaxed
data_TbZn2GaCu2
_cell_length_a 4.459
_cell_length_b 4.459
_cell_length_c 5.591
_cell_angle_alpha 90.00
_cell_angle_beta 90.00
_cell_angle_gamma 90.00
_space_group_name_H-M_alt 'P 4/m m m'
_space_group_IT_number 123
_space_group_name_Hall '-P 4 2'
loop_
_atom_site_label
_atom_site_type_symbol
_atom_site_fract_x
_atom_site_fract_y
_atom_site_fract_z
Tb1 Tb 0.000 0.000 0.000
Zn1 Zn 0.500 0.500 0.233
Ga1 Ga 0.000 0.000 0.500
Cu1 Cu 0.000 0.500 0.500
# - Formation energy: -0.01 eV/atom
# - Crystal system: tetragonal
# - Calculated total energy: -3.081 eV/atom

***

4.
# Mn3FeW | Alexandria | PBE-GGA | relaxed
data_Mn3FeW
_cell_length_a 4.144
_cell_length_b 4.144
_cell_length_c 4.144
_cell_angle_alpha 90.00
_cell_angle_beta 90.00
_cell_angle_gamma 90.00
_space_group_name_H-M_alt 'P m -3 m'
_space_group_IT_number 221
_space_group_name_Hall '-P 4 2 3'
loop_
_atom_site_label
_atom_site_type_symbol
_atom_site_fract_x
_atom_site_fract_y
_atom_site_fract_z
Mn1 Mn 0.000 0.000 0.500
Fe1 Fe 0.000 0.000 0.000
W1 W 0.500 0.500 0.500
# - Formation energy: 1.26 eV/atom
# - Crystal system: cubic
# - Energy relative to the lowest polymorph listed for this composition: 0.0000 eV/atom
# - Calculated total energy: -8.529 eV/atom

***

5.
# Pm6Tm12Th | Alexandria | PBE-GGA | relaxed
data_Pm6Tm12Th
_cell_length_a 13.2209
_cell_length_b 13.2209
_cell_length_c 12.3212
_cell_angle_alpha 90.00
_cell_angle_beta 90.00
_cell_angle_gamma 120.00
_space_group_name_H-M_alt 'R -3 m'
_space_group_IT_number 166
_space_group_name_Hall '-R 3 2"'
loop_
_atom_site_label
_atom_site_type_symbol
_atom_site_fract_x
_atom_site_fract_y
_atom_site_fract_z
Pm1 Pm 0.0369 0.5184 0.1202
Tm1 Tm 0.0000 0.2555 0.0000
Tm2 Tm 0.0902 0.1804 0.7581
Th1 Th 0.0000 0.0000 0.5000
# - Formation energy: 0.23 eV/atom
# - Crystal system: trigonal
# - Calculated total energy: -4.488 eV/atom

***

6.
# YBeRe3 | Alexandria | PBE-GGA | relaxed
data_YBeRe3
_cell_length_a 4.329
_cell_length_b 4.329
_cell_length_c 4.329
_cell_angle_alpha 90.00
_cell_angle_beta 90.00
_cell_angle_gamma 90.00
_space_group_name_H-M_alt 'P m -3 m'
_space_group_IT_number 221
_space_group_name_Hall '-P 4 2 3'
loop_
_atom_site_label
_atom_site_type_symbol
_atom_site_fract_x
_atom_site_fract_y
_atom_site_fract_z
Y1 Y 0.000 0.000 0.000
Be1 Be 0.500 0.500 0.500
Re1 Re 0.000 0.500 0.500
# - Formation energy: 0.61 eV/atom
# - Crystal system: cubic
# - Energy relative to the lowest polymorph listed for this composition: 0.0000 eV/atom
# - Calculated total energy: -8.899 eV/atom

***

Number 1: magnetization 0.000 μB per atom, ρ 7.2 g/cm³. Number 2: magnetization 0.000 μB per atom, ρ 2.4 g/cm³. Number 3: magnetization 0.000 μB per atom, ρ 7.3 g/cm³. Number 4: magnetization 0.699 μB per atom, ρ 9.4 g/cm³. Number 5: magnetization 0.000 μB per atom, ρ 8.4 g/cm³. Number 6: magnetization 0.000 μB per atom, ρ 13.4 g/cm³.